VASP calculation (PBE) on an optimized crystal structure of Ho7Sb2Ir2.

Cell lengths 8.7506, 10.4318, 7.1083 Å; angles 90.00, 90.00, 90.00 degrees
Closest atoms and distances in Å follow each position.
Space group Cmmm (No. 65)
Symmetry-distinct sites (fractional):
Ho  0.0000  0.0000  0.0000 x2  2 Ir 2.89
Ho  0.0000  0.5000  0.2317 x4  2 Ir 2.85, 2 Sb 3.16
Ho  0.2500  0.2500  0.2407 x8  2 Ir 2.79
Sb  0.2121  0.0000  0.5000 x4  6 Ho 3.16-3.21
Ir  0.0000  0.2775  0.0000 x4  7 Ho 2.79-2.89

Summary:
* spin magnetization: 0.00 μB/cell
* formation energy (no corrections): -0.654 eV per atom
* E above lowest polymorph: 138 meV per atom
* DOS at the Fermi energy: 15.67 states/eV per cell

***

VASP calculation (PBE) on an optimized crystal structure of SrScAu2.

Cell lengths 3.5765, 4.9461, 10.8410 Å; angles 90.00, 90.00, 90.00 degrees
Closest atoms and distances in Å follow each position.
Space group Imm2 (No. 44)
Symmetry-distinct sites (fractional):
Sr  0.0000  0.0000  0.0000 x2  6 Au 3.05-3.38, 2 Sc 3.37
Sc  0.0000  0.5000  0.7892 x2  6 Au 2.96-3.11
Au  0.0000  0.0000  0.5064 x2  2 Sc 2.96, 4 Sr 3.05, 2 Au 3.06
Au  0.0000  0.5000  0.2350 x2  2 Au 3.06, 4 Sc 3.11, 2 Sr 3.38

Summary:
* spin magnetization: 0.00 μB/cell
* energy of formation from the pure elements: -45 kJ/mol of atoms
* E above lowest polymorph: 272 meV per atom
* DOS at the Fermi energy: 7.60 states/eV per cell

***

VASP calculation (PBE) on an optimized crystal structure of KLaAu2.

Cell lengths 3.8723, 3.8723, 8.7527 Å; angles 90.00, 90.00, 90.00 degrees
Closest atoms and distances in Å follow each position.
Space group P4mm (No. 99)
Symmetry-distinct sites (fractional):
K  0.0000  0.0000  0.0000 x1  5 Au 3.43-3.52
La  0.5000  0.5000  0.4329 x1  5 Au 2.90-3.10
Au  0.0000  0.0000  0.5979 x1  4 La 3.10, 4 Au 3.10
Au  0.5000  0.5000  0.7637 x1  1 La 2.90, 4 Au 3.10

Summary:
* spin magnetization: 0.00 μB/cell
* energy of formation from the pure elements: -29 kJ/mol of atoms
* DOS at the Fermi energy: 1.47 states/eV per cell

***

VASP calculation (PBE) on an optimized crystal structure of Ti3Be2Co.

Cell lengths 2.9753, 2.9753, 8.6636 Å; angles 90.00, 90.00, 90.00 degrees
Closest atoms and distances in Å follow each position.
Space group P4/mmm (No. 123)
Symmetry-distinct sites (fractional):
Ti  0.0000  0.0000  0.0000 x1  8 Be 2.55
Ti  0.0000  0.0000  0.3314 x2  4 Be 2.54, 4 Co 2.56
Be  0.5000  0.5000  0.1664 x2  8 Ti 2.54-2.55
Co  0.5000  0.5000  0.5000 x1  8 Ti 2.56

Summary:
* spin magnetization: 0.00 μB/cell
* energy of formation from the pure elements: -22 kJ/mol of atoms
* DOS at the Fermi energy: 3.49 states/eV per cell

***

VASP calculation (PBE) on an optimized crystal structure of KTb3Nd2Te6.

Cell lengths 19.6731, 4.4199, 9.1274 Å; angles 90.00, 104.41, 90.00 degrees
Closest atoms and distances in Å follow each position.
Space group C2/m (No. 12)
Symmetry-distinct sites (fractional):
K  0.0000  0.0000  0.0000 x2  6 Te 3.28-3.31
Tb  0.0000  0.0000  0.5000 x2  6 Te 3.08-3.09
Tb  0.1638  0.5000  0.8243 x4  6 Te 3.07-3.19
Nd  0.1720  0.5000  0.3477 x4  6 Te 3.17-3.30
Te  0.0006  0.5000  0.2661 x4  3 Tb 3.08-3.13, 1 Nd 3.27, 2 K 3.28
Te  0.1623  0.0000  0.5902 x4  3 Tb 3.07-3.09, 3 Nd 3.17
Te  0.1735  0.0000  0.0801 x4  3 Tb 3.10-3.19, 2 Nd 3.30, 1 K 3.31

Summary:
* spin magnetization: 0.00 μB/cell
* formation energy (no corrections): -1.363 eV per atom
* DOS at the Fermi energy: 8.64 states/eV per cell

***

VASP calculation (PBE) on an optimized crystal structure of CePm4Tm3S8.

Cell lengths 7.9013, 7.9013, 19.5090 Å; angles 90.00, 90.00, 120.00 degrees
Closest atoms and distances in Å follow each position.
Space group R-3m (No. 166, hexagonal axes)
Symmetry-distinct sites (fractional):
Ce  0.0000  0.0000  0.0000 x3  6 S 2.79
Pm  0.0000  0.0000  0.5000 x3  6 S 2.81
Pm  0.0000  0.5000  0.5000 x9  6 S 2.87
Tm  0.0000  0.5000  0.0000 x9  6 S 2.73
S  0.0000  0.0000  0.2562 x6  3 Tm 2.73, 3 Pm 2.87
S  0.0071  0.5035  0.2545 x18  2 Tm 2.73, 1 Ce 2.79, 3 Pm 2.81-2.87

Summary:
* spin magnetization: 0.03 μB/cell
* formation energy (no corrections): -2.000 eV per atom
* DOS at the Fermi energy: 29.43 states/eV per cell

***

VASP calculation (PBE) on an optimized crystal structure of Pm4Sm7Y.

Cell lengths 6.5962, 6.9626, 9.2058 Å; angles 86.87, 77.26, 83.11 degrees
Closest atoms and distances in Å follow each position.
Space group P-1 (No. 2)
Symmetry-distinct sites (fractional):
Pm  0.1437  0.3000  0.2834 x2  7 Sm 3.39-3.66, 1 Y 3.46, 2 Pm 3.57
Pm  0.3409  0.8950  0.6869 x2  7 Sm 3.42-3.80, 2 Pm 3.57
Sm  0.0121  0.2507  0.9493 x2  3 Pm 3.42-3.80, 5 Sm 3.42-3.62, 1 Y 3.55
Sm  0.1883  0.7986  0.3575 x2  5 Sm 3.42-3.77, 4 Pm 3.51-3.63
Sm  0.3052  0.4016  0.6170 x2  5 Sm 3.35-3.68, 4 Pm 3.39-3.60
Sm  0.5000  0.0000  0.0000 x1  4 Pm 3.42-3.66, 2 Y 3.48, 4 Sm 3.58-3.77
Y  0.5000  0.5000  0.0000 x1  2 Pm 3.46, 4 Sm 3.48-3.55

Summary:
* spin magnetization: 0.00 μB/cell
* energy of formation from the pure elements: 8 kJ/mol of atoms
* E above lowest polymorph: 0 meV per atom
* DOS at the Fermi energy: 18.81 states/eV per cell

***

VASP calculation (PBE) on an optimized crystal structure of NaLaNi2C.

Cell lengths 4.4716, 4.4716, 4.4619 Å; angles 90.00, 90.00, 90.00 degrees
Closest atoms and distances in Å follow each position.
Space group P4/mmm (No. 123)
Symmetry-distinct sites (fractional):
Na  0.0000  0.0000  0.0000 x1  2 C 2.23, 4 Ni 2.24
La  0.5000  0.5000  0.5000 x1  8 Ni 3.16, 4 C 3.16
Ni  0.0000  0.5000  0.0000 x2  2 Na 2.24
C  0.0000  0.0000  0.5000 x1  2 Na 2.23

Summary:
* spin magnetization: 0.00 μB/cell
* energy of formation from the pure elements: 132 kJ/mol of atoms
* DOS at the Fermi energy: 4.78 states/eV per cell

***

VASP calculation (PBE) on an optimized crystal structure of NpGaRuPt.

Cell lengths 6.5594, 6.5594, 6.5594 Å; angles 90.00, 90.00, 90.00 degrees
Closest atoms and distances in Å follow each position.
Space group F-43m (No. 216)
Symmetry-distinct sites (fractional):
Np  0.0000  0.0000  0.0000 x4  4 Ru 2.84, 4 Pt 2.84
Ga  0.0000  0.0000  0.5000 x4  4 Ru 2.84, 4 Pt 2.84
Ru  0.2500  0.2500  0.7500 x4  4 Np 2.84, 4 Ga 2.84
Pt  0.2500  0.2500  0.2500 x4  4 Np 2.84, 4 Ga 2.84

Summary:
* spin magnetization: 12.38 μB/cell
* energy of formation from the pure elements: -30 kJ/mol of atoms
* DOS at the Fermi energy: 30.44 states/eV per cell

***

VASP calculation (PBE) on an optimized crystal structure of Zr3AgOs2.

Cell lengths 3.2613, 3.2613, 10.5491 Å; angles 90.00, 90.00, 90.00 degrees
Closest atoms and distances in Å follow each position.
Space group P4/mmm (No. 123)
Symmetry-distinct sites (fractional):
Zr  0.0000  0.0000  0.0000 x1  8 Os 2.86
Zr  0.0000  0.0000  0.3142 x2  4 Os 2.82, 4 Ag 3.03
Ag  0.5000  0.5000  0.5000 x1  8 Zr 3.03, 4 Ag 3.26
Os  0.5000  0.5000  0.1596 x2  8 Zr 2.82-2.86

Summary:
* spin magnetization: 0.00 μB/cell
* energy of formation from the pure elements: -34 kJ/mol of atoms
* DOS at the Fermi energy: 4.65 states/eV per cell

***

VASP calculation (PBE) on an optimized crystal structure of Sr2RhCl.

Cell lengths 4.9974, 3.7476, 11.4001 Å; angles 90.00, 90.00, 90.00 degrees
Closest atoms and distances in Å follow each position.
Space group Amm2 (No. 38)
Symmetry-distinct sites (fractional):
Sr  0.0000  0.0000  0.0000 x2  3 Cl 2.97-3.31, 4 Rh 3.13
Sr  0.5000  0.0000  0.2564 x2  1 Rh 2.94, 4 Cl 3.13
Rh  0.5000  0.0000  0.5144 x2  5 Sr 2.94-3.13
Cl  0.0000  0.0000  0.7398 x2  7 Sr 2.97-3.31

Summary:
* spin magnetization: 0.00 μB/cell
* formation energy (no corrections): -0.895 eV per atom
* E above lowest polymorph: 88 meV per atom
* DOS at the Fermi energy: 3.00 states/eV per cell

***

VASP calculation (PBE) on an optimized crystal structure of K2Cd12Ag3Hg.

Cell lengths 9.7734, 9.7734, 20.7986 Å; angles 90.00, 90.00, 120.00 degrees
Closest atoms and distances in Å follow each position.
Space group R-3m (No. 166, hexagonal axes)
Symmetry-distinct sites (fractional):
K  0.0000  0.0000  0.0909 x6  6 Cd 3.55-3.75, 1 K 3.78
Cd  0.0009  0.5004  0.8617 x18  1 Ag 2.88, 1 Hg 2.89, 4 Cd 2.97-3.06
Cd  0.1029  0.5515  0.3940 x18  2 Ag 2.80, 2 Cd 2.97
Ag  0.0000  0.5000  0.0000 x9  6 Cd 2.80-2.88
Hg  0.0000  0.0000  0.5000 x3  6 Cd 2.89

Summary:
* spin magnetization: 0.00 μB/cell
* energy of formation from the pure elements: 14 kJ/mol of atoms
* DOS at the Fermi energy: 16.08 states/eV per cell

***

VASP calculation (PBE) on an optimized crystal structure of Pm3Cd3Ag.

Cell lengths 3.5321, 4.9793, 21.1496 Å; angles 90.00, 90.00, 90.00 degrees
Closest atoms and distances in Å follow each position.
Space group Imm2 (No. 44)
Symmetry-distinct sites (fractional):
Pm  0.0000  0.0000  0.0000 x2  7 Cd 3.28-3.40, 2 Pm 3.53
Pm  0.0000  0.0000  0.3932 x2  2 Ag 3.22, 5 Cd 3.26-3.46, 2 Pm 3.53
Pm  0.0000  0.5000  0.2025 x2  4 Ag 3.33, 8 Cd 3.39-3.56, 2 Pm 3.53
Cd  0.0000  0.0000  0.5565 x2  2 Cd 2.96, 4 Pm 3.28
Cd  0.0000  0.0000  0.8391 x2  2 Ag 2.93, 4 Pm 3.26
Cd  0.0000  0.5000  0.6326 x2  1 Ag 2.82, 2 Cd 2.96
Ag  0.0000  0.5000  0.7659 x2  3 Cd 2.82-2.93

Summary:
* spin magnetization: 0.00 μB/cell
* energy of formation from the pure elements: -27 kJ/mol of atoms
* DOS at the Fermi energy: 11.14 states/eV per cell

***

VASP calculation (PBE) on an optimized crystal structure of Pr7Nd3Sm.

Cell lengths 11.9746, 10.3921, 6.5649 Å; angles 90.00, 95.42, 90.00 degrees
Closest atoms and distances in Å follow each position.
Space group C2/m (No. 12)
Symmetry-distinct sites (fractional):
Pr  0.0000  0.0000  0.0000 x2  2 Sm 3.28, 2 Nd 3.41, 2 Pr 3.56
Pr  0.2377  0.5000  0.2144 x4  5 Pr 3.40-3.63, 1 Sm 3.50, 3 Nd 3.54-3.55
Pr  0.2470  0.1739  0.2616 x8  6 Pr 3.40-3.79, 3 Nd 3.62-3.74
Nd  0.0000  0.3285  0.0000 x4  7 Pr 3.41-3.65, 3 Nd 3.56-3.74
Nd  0.0000  0.5000  0.5000 x2  6 Pr 3.55-3.74, 4 Nd 3.74
Sm  0.0000  0.0000  0.5000 x2  4 Pr 3.28-3.50

Summary:
* spin magnetization: 0.00 μB/cell
* energy of formation from the pure elements: 20 kJ/mol of atoms
* DOS at the Fermi energy: 30.99 states/eV per cell

***

VASP calculation (PBE) on an optimized crystal structure of TlAgS2.

Cell lengths 4.3455, 4.8912, 5.4492 Å; angles 101.66, 108.23, 96.24 degrees
Closest atoms and distances in Å follow each position.
Space group P1 (No. 1)
Symmetry-distinct sites (fractional):
Tl  0.0000  0.0000  0.0000 x1  6 S 3.20-3.31, 2 Ag 3.26-3.28
Ag  0.0059  0.5051  0.5013 x1  2 S 2.42
S  0.4886  0.4042  0.8128 x1  1 S 2.11
S  0.5097  0.6004  0.2010 x1  1 S 2.11

Summary:
* spin magnetization: 0.00 μB/cell
* formation energy (no corrections): -0.114 eV per atom
* DOS at the Fermi energy: 0.00 states/eV per cell

***

VASP calculation (PBE) on an optimized crystal structure of Y2In2Cu15.

Cell lengths 8.7558, 8.7558, 12.8046 Å; angles 90.00, 90.00, 120.00 degrees
Closest atoms and distances in Å follow each position.
Space group R-3m (No. 166, hexagonal axes)
Symmetry-distinct sites (fractional):
Y  0.0000  0.0000  0.1447 x6  12 Cu 2.98-3.19, 1 In 3.15
In  0.0000  0.0000  0.3907 x6  6 Cu 2.63-2.74, 1 In 2.80
Cu  0.0000  0.3070  0.5000 x18  8 Cu 2.53-2.69
Cu  0.0000  0.5000  0.0000 x9  8 Cu 2.53-2.56, 2 In 2.63
Cu  0.0081  0.5040  0.6533 x18  8 Cu 2.49-2.68, 1 In 2.74

Summary:
* spin magnetization: 0.00 μB/cell
* energy of formation from the pure elements: -10 kJ/mol of atoms
* DOS at the Fermi energy: 25.54 states/eV per cell